{"formula": "NdCd2Sn", "functional": "PBE-GGA", "state": "relaxed", "magnetic_moment_mub_per_cell": 0.00, "dos_ef_per_ev_atom": 0.73, "rho_g_cm3": 7.7, "e_above_lowest_polymorph_ev_per_atom": 0.2347, "e_form_ev_per_atom": -0.2220, "lattice_angstrom": [[0.0000, 3.7412, 3.7412], [3.7412, 0.0000, 3.7412], [3.7412, 3.7412, 0.0000]], "species": ["Nd", "Cd", "Cd", "Sn"], "fractional_positions": [[0.0000, 0.0000, 0.0000], [0.2500, 0.2500, 0.2500], [0.7500, 0.7500, 0.7500], [0.5000, 0.5000, 0.5000]]}